DFT (PBE) results for an optimized crystal structure of Cu5Br3F12.

For the density of states at the Fermi level, the calculation gives 14.711 states/eV/f.u. As for the formation energy without anion corrections: -924 meV per atom. The calculation puts the electronic total energy at -0.2442 Ry per atom.

The space group is Ia-3d (No. 230) and the conventional cell measures 13.6240, 13.6240 and 13.6240 Å, with angles of 90.00, 90.00 and 90.00 degrees. Symmetry generates all atoms from Cu at (0.0000, 0.0000, 0.0000), Cu at (0.0000, 0.2500, 0.3750), Br at (0.0000, 0.2500, 0.1250) and F at (0.0027, 0.1513, 0.9762).


DFT (PBE) results for an optimized crystal structure of La2ZnMo.

For the density of states at the Fermi level, the calculation gives 4.852 states/eV/f.u. Its energy of formation is 41.6 kJ/mol of atoms. The calculation puts the electronic total energy at -0.3718 Ry per atom.

The space group is C2/m (No. 12) and the conventional cell measures 8.4556, 3.2243 and 7.8667 Å, with angles of 90.00, 96.32 and 90.00 degrees. Symmetry generates all atoms from La at (0.2466, 0.0000, 0.2741), Zn at (0.0000, 0.5000, 0.0000) and Mo at (0.0000, 0.0000, 0.5000).


DFT (PBE) results for an optimized crystal structure of GaBi3B.

The calculation puts the distance to the lowest polymorph of the same formula at 0.676 eV per atom. For the density of states at the Fermi level, the calculation gives 4.036 states/eV/f.u. Its energy of formation is 134.2 kJ/mol of atoms. The calculation puts the electronic total energy at -0.2116 Ry per atom.

The space group is Pm-3m (No. 221) and the conventional cell measures 5.4634, 5.4634 and 5.4634 Å, with angles of 90.00, 90.00 and 90.00 degrees. Symmetry generates all atoms from Ga at (0.0000, 0.0000, 0.0000), Bi at (0.0000, 0.0000, 0.5000) and B at (0.5000, 0.5000, 0.5000).


DFT (PBE) results for an optimized crystal structure of Th2ScAs3.

For the density of states at the Fermi level, the calculation gives 2.643 states/eV/f.u. Its energy of formation is -130.1 kJ/mol of atoms. The calculation puts the electronic total energy at -0.5293 Ry per atom.

The space group is Immm (No. 71) and the conventional cell measures 4.1425, 5.9120 and 12.4097 Å, with angles of 90.00, 90.00 and 90.00 degrees. Symmetry generates all atoms from Th at (0.0000, 0.0000, 0.1691), Sc at (0.0000, 0.0000, 0.5000), As at (0.0000, 0.5000, 0.1543) and As at (0.0000, 0.5000, 0.5000).


DFT (PBE) results for an optimized crystal structure of K2GaF4.

The calculation puts the distance to the lowest polymorph of the same formula at 0.113 eV per atom. For the density of states at the Fermi level, the calculation gives 2.661 states/eV/f.u. As for the formation energy without anion corrections: -2377 meV per atom. The calculation puts the electronic total energy at -0.3081 Ry per atom.

The space group is I4/mmm (No. 139) and the conventional cell measures 6.3434, 6.3434 and 7.0192 Å, with angles of 90.00, 90.00 and 90.00 degrees. Symmetry generates all atoms from K at (0.0000, 0.5000, 0.2500), Ga at (0.0000, 0.0000, 0.0000) and F at (0.2223, 0.2223, 0.0000).


DFT (PBE) results for an optimized crystal structure of CaPSe2.

For the density of states at the Fermi level, the calculation gives 2.436 states/eV/f.u. As for the formation energy without anion corrections: -303 meV per atom. The calculation puts the electronic total energy at -0.2865 Ry per atom.

The space group is P4/mmm (No. 123) and the conventional cell measures 3.9343, 3.9343 and 5.6488 Å, with angles of 90.00, 90.00 and 90.00 degrees. Symmetry generates all atoms from Ca at (0.0000, 0.0000, 0.0000), P at (0.0000, 0.0000, 0.5000) and Se at (0.5000, 0.5000, 0.2549).


DFT (PBE) results for an optimized crystal structure of ScTlCl2.

The calculation puts the distance to the lowest polymorph of the same formula at 0.168 eV per atom. For the density of states at the Fermi level, the calculation gives 2.857 states/eV/f.u. As for the formation energy without anion corrections: -1143 meV per atom. The calculation puts the electronic total energy at -0.3117 Ry per atom.

The space group is Cmmm (No. 65) and the conventional cell measures 3.4411, 6.4163 and 10.0780 Å, with angles of 90.00, 90.00 and 90.00 degrees. Symmetry generates all atoms from Sc at (0.0000, 0.0000, 0.0000), Tl at (0.0000, 0.0000, 0.5000) and Cl at (0.0000, 0.5000, 0.1847).


DFT (PBE) results for an optimized crystal structure of Cd5SeS4.

As for the formation energy without anion corrections: -632 meV per atom. The calculation puts the electronic total energy at -0.2270 Ry per atom.

The space group is R3m (No. 160, hexagonal axes) and the conventional cell measures 4.2264, 4.2264 and 51.8418 Å, with angles of 90.00, 90.00 and 120.00 degrees. Symmetry generates all atoms from Cd at (0.0000, 0.0000, 0.0000), Cd at (0.0000, 0.0000, 0.1966), Cd at (0.0000, 0.0000, 0.3988), Cd at (0.0000, 0.0000, 0.5955), Cd at (0.0000, 0.0000, 0.7977), Se at (0.0000, 0.0000, 0.6471), S at (0.0000, 0.0000, 0.0494), S at (0.0000, 0.0000, 0.2461), S at (0.0000, 0.0000, 0.4483) and S at (0.0000, 0.0000, 0.8472).


DFT (PBE) results for an optimized crystal structure of Ti3Co2Cu3.

For the density of states at the Fermi level, the calculation gives 5.232 states/eV/f.u. Its energy of formation is -20.8 kJ/mol of atoms. The calculation puts the electronic total energy at -0.4769 Ry per atom.

The space group is P-62m (No. 189) and the conventional cell measures 6.5909, 6.5909 and 2.8857 Å, with angles of 90.00, 90.00 and 120.00 degrees. Symmetry generates all atoms from Ti at (0.0000, 0.4198, 0.0000), Co at (0.3333, 0.6667, 0.5000) and Cu at (0.0000, 0.7764, 0.5000).


DFT (PBE) results for an optimized crystal structure of SrMg2TlPt.

The calculation puts the distance to the lowest polymorph of the same formula at 0.029 eV per atom. For the density of states at the Fermi level, the calculation gives 3.601 states/eV/f.u. Its energy of formation is -33.0 kJ/mol of atoms. The calculation puts the electronic total energy at -0.2203 Ry per atom.

The space group is P4/mmm (No. 123) and the conventional cell measures 5.1116, 5.1116 and 5.3440 Å, with angles of 90.00, 90.00 and 90.00 degrees. Symmetry generates all atoms from Sr at (0.0000, 0.0000, 0.0000), Mg at (0.0000, 0.5000, 0.5000), Tl at (0.5000, 0.5000, 0.0000) and Pt at (0.5000, 0.5000, 0.5000).


DFT (PBE) results for an optimized crystal structure of BaZn3Pt.

The calculation puts the distance to the lowest polymorph of the same formula at 0.040 eV per atom. For the density of states at the Fermi level, the calculation gives 2.378 states/eV/f.u. Its energy of formation is -40.4 kJ/mol of atoms. The calculation puts the electronic total energy at -0.2040 Ry per atom.

The space group is Cm (No. 8) and the conventional cell measures 12.2269, 4.3705 and 9.3498 Å, with angles of 90.00, 108.99 and 90.00 degrees. Symmetry generates all atoms from Ba at (0.0000, 0.0000, 0.0000), Ba at (0.1842, 0.5000, 0.4696), Zn at (0.1785, 0.5000, 0.8462), Zn at (0.2821, 0.5000, 0.1556), Zn at (0.3111, 0.0000, 0.7498), Zn at (0.3692, 0.0000, 0.2903), Zn at (0.4521, 0.5000, 0.4282), Zn at (0.4573, 0.0000, 0.6137), Pt at (0.0926, 0.0000, 0.6960) and Pt at (0.2698, 0.0000, 0.9997).


DFT (PBE) results for an optimized crystal structure of Li7PdAu4.

For the density of states at the Fermi level, the calculation gives 2.442 states/eV/f.u. Its energy of formation is -35.9 kJ/mol of atoms. The calculation puts the electronic total energy at -0.2215 Ry per atom.

The space group is C2/m (No. 12) and the conventional cell measures 12.7531, 4.6753 and 7.6847 Å, with angles of 90.00, 121.79 and 90.00 degrees. Symmetry generates all atoms from Li at (0.0000, 0.0000, 0.0000), Li at (0.0708, 0.5000, 0.4025), Li at (0.2051, 0.5000, 0.8718), Li at (0.2292, 0.5000, 0.2555), Pd at (0.0000, 0.5000, 0.0000), Au at (0.0674, 0.0000, 0.7317) and Au at (0.1836, 0.0000, 0.3588).